Model a:
A relaxed structure of Mg2CuTc. Source: Alexandria, functional PBE.

```
Mg2CuTc
1.0
4.0260 0.0000 0.0000
0.0000 4.0260 0.0000
0.0000 0.0000 3.8353
Mg Cu Tc
2 1 1
direct
0.0000 0.5000 0.0000
0.5000 0.0000 0.0000
0.0000 0.0000 0.5000
0.5000 0.5000 0.5000
```

---

Model b:
A relaxed structure of Mg2CuTc. Source: Alexandria, functional PBE.

```
Mg2CuTc
1.0
2.7800 0.0000 0.0000
0.0000 4.0990 0.0000
0.0000 0.0000 5.6161
Mg Cu Tc
2 1 1
direct
0.0000 0.0000 0.0000
0.5000 0.5000 0.2909
0.5000 0.5000 0.7560
0.0000 0.0000 0.5212
```

---

Most stable structure - model a; separation to the second - 8.8 kJ/mol of atoms.

---

Model a:
A relaxed structure of Mg2CuTc. Source: Alexandria, functional PBE.

```
Mg2CuTc
1.0
-1.4558 2.3547 4.5436
1.4558 -2.3547 4.5436
1.4558 2.3547 -4.5436
Mg Cu Tc
2 1 1
direct
0.2321 0.2321 0.0000
0.7679 0.7679 0.0000
0.0000 0.5000 0.5000
0.5000 0.0000 0.5000
```

---

Model b:
A relaxed structure of Mg2CuTc. Source: Alexandria, functional PBE.

```
Mg2CuTc
1.0
4.6368 -1.4000 0.0000
4.6368 1.4000 0.0000
-1.1564 0.0000 4.8321
Mg Cu Tc
2 1 1
direct
0.2395 0.2395 0.2501
0.7605 0.7605 0.7499
0.5000 0.5000 0.0000
0.0000 0.0000 0.5000
```

---

Most stable structure - model b; separation to the second - 0.9 kJ/mol of atoms.